DFT (PBE-GGA) results for crystalline ErCrB at its relaxed geometry.

The value obtained for the uncorrected energy is -7.215 eV per atom. Its density of states at the Fermi level is 0.768 states/eV/atom. The energy of formation from the pure elements is -0.2609 eV/atom. For the volume, the calculation gives 15.61 Å³/atom. The crystal system is tetragonal. The total magnetization is 0.000 μB per atom.

The structure belongs to space group P4/nmm (No. 129, origin choice 2); the cell edges are 3.410, 3.410 and 8.054 Å and the angles 90.00°, 90.00° and 90.00°. Symmetry generates all atoms from Er at (0.250, 0.250, 0.184), Cr at (0.250, 0.750, 0.500) and B at (0.250, 0.250, 0.669).


DFT (PBE-GGA) results for crystalline Er3CrB7 at its relaxed geometry.

The value obtained for the uncorrected energy is -7.009 eV per atom. Its density of states at the Fermi level is 0.231 states/eV/atom. The energy of formation from the pure elements is -0.6402 eV/atom. For the volume, the calculation gives 11.30 Å³/atom. The crystal system is orthorhombic. The total magnetization is 0.079 μB per atom.

The structure belongs to space group Cmcm (No. 63); the cell edges are 3.414, 15.687 and 9.288 Å and the angles 90.00°, 90.00° and 90.00°. Symmetry generates all atoms from Er at (0.000, 0.105, 0.060), Er at (0.000, 0.241, 0.750), Cr at (0.000, 0.053, 0.750), B at (0.000, 0.273, 0.032), B at (0.000, 0.369, 0.151), B at (0.000, 0.458, 0.750) and B at (0.000, 0.479, 0.096).


- What is the formula in the first record?
  ErCrB


Copy entry 2 word for word.
DFT (PBE-GGA) results for crystalline Er3CrB7 at its relaxed geometry.

The value obtained for the uncorrected energy is -7.009 eV per atom. Its density of states at the Fermi level is 0.231 states/eV/atom. The energy of formation from the pure elements is -0.6402 eV/atom. For the volume, the calculation gives 11.30 Å³/atom. The crystal system is orthorhombic. The total magnetization is 0.079 μB per atom.

The structure belongs to space group Cmcm (No. 63); the cell edges are 3.414, 15.687 and 9.288 Å and the angles 90.00°, 90.00° and 90.00°. Symmetry generates all atoms from Er at (0.000, 0.105, 0.060), Er at (0.000, 0.241, 0.750), Cr at (0.000, 0.053, 0.750), B at (0.000, 0.273, 0.032), B at (0.000, 0.369, 0.151), B at (0.000, 0.458, 0.750) and B at (0.000, 0.479, 0.096).


- Which value of volume does entry 1 give?
  15.61 Å³/atom